(1)
# Mn2CdCoPd, optimized geometry, DFT PBE
# Formation enthalpy at 0 K   1.5603 eV/atom
# Total moment   10.5 μB per formula unit
data_Mn2CdCoPd
_chemical_formula_sum 'Mn2 Cd1 Co1 Pd1'
_cell_length_a 4.913
_cell_length_b 4.913
_cell_length_c 4.897
_cell_angle_alpha 90.00
_cell_angle_beta 90.00
_cell_angle_gamma 90.00
_symmetry_space_group_name_H-M 'P 4/m m m'
_symmetry_Int_Tables_number 123
_symmetry_space_group_name_Hall '-P 4 2'
loop_
_atom_site_label
_atom_site_type_symbol
_atom_site_fract_x
_atom_site_fract_y
_atom_site_fract_z
_atom_site_occupancy
Mn1 Mn 0.000 0.500 0.000 1
Cd1 Cd 0.000 0.000 0.000 1
Co1 Co 0.500 0.500 0.500 1
Pd1 Pd 0.000 0.000 0.500 1


(2)
# SrMn2CdCo, optimized geometry, DFT PBE
# Formation enthalpy at 0 K   0.3827 eV/atom
# Total moment   8.9 μB per formula unit
data_SrMn2CdCo
_chemical_formula_sum 'Sr1 Mn2 Cd1 Co1'
_cell_length_a 4.716
_cell_length_b 4.716
_cell_length_c 5.049
_cell_angle_alpha 90.00
_cell_angle_beta 90.00
_cell_angle_gamma 90.00
_symmetry_space_group_name_H-M 'P 4/m m m'
_symmetry_Int_Tables_number 123
_symmetry_space_group_name_Hall '-P 4 2'
loop_
_atom_site_label
_atom_site_type_symbol
_atom_site_fract_x
_atom_site_fract_y
_atom_site_fract_z
_atom_site_occupancy
Sr1 Sr 0.000 0.000 0.000 1
Mn1 Mn 0.000 0.500 0.500 1
Cd1 Cd 0.500 0.500 0.000 1
Co1 Co 0.500 0.500 0.500 1


(3)
# Zr2MnCdCo, optimized geometry, DFT PBE
# Formation enthalpy at 0 K   1.9325 eV/atom
# Total moment   0.1 μB per formula unit
data_Zr2MnCdCo
_chemical_formula_sum 'Zr2 Mn1 Cd1 Co1'
_cell_length_a 5.174
_cell_length_b 5.174
_cell_length_c 4.526
_cell_angle_alpha 90.00
_cell_angle_beta 90.00
_cell_angle_gamma 90.00
_symmetry_space_group_name_H-M 'P 4/m m m'
_symmetry_Int_Tables_number 123
_symmetry_space_group_name_Hall '-P 4 2'
loop_
_atom_site_label
_atom_site_type_symbol
_atom_site_fract_x
_atom_site_fract_y
_atom_site_fract_z
_atom_site_occupancy
Zr1 Zr 0.000 0.500 0.000 1
Mn1 Mn 0.000 0.000 0.500 1
Cd1 Cd 0.000 0.000 0.000 1
Co1 Co 0.500 0.500 0.500 1


(4)
# CdCo2Mo, optimized geometry, DFT PBE
# Formation enthalpy at 0 K   0.3789 eV/atom
# Total moment   0.0 μB per formula unit
data_CdCo2Mo
_chemical_formula_sum 'Cd2 Co4 Mo2'
_cell_length_a 5.746
_cell_length_b 7.061
_cell_length_c 2.742
_cell_angle_alpha 90.00
_cell_angle_beta 90.00
_cell_angle_gamma 90.00
_symmetry_space_group_name_H-M 'C m m m'
_symmetry_Int_Tables_number 65
_symmetry_space_group_name_Hall '-C 2 2'
loop_
_atom_site_label
_atom_site_type_symbol
_atom_site_fract_x
_atom_site_fract_y
_atom_site_fract_z
_atom_site_occupancy
Cd1 Cd 0.000 0.000 0.000 1
Co1 Co 0.250 0.250 0.500 1
Mo1 Mo 0.000 0.500 0.000 1


(5)
# CdCo2Mo, optimized geometry, DFT PBE
# Formation enthalpy at 0 K   0.7027 eV/atom
# Total moment   0.0 μB per formula unit
data_CdCo2Mo
_chemical_formula_sum 'Cd4 Co8 Mo4'
_cell_length_a 6.743
_cell_length_b 6.743
_cell_length_c 5.536
_cell_angle_alpha 90.00
_cell_angle_beta 90.00
_cell_angle_gamma 90.00
_symmetry_space_group_name_H-M 'I -4 2 d'
_symmetry_Int_Tables_number 122
_symmetry_space_group_name_Hall 'I -4 2bw'
loop_
_atom_site_label
_atom_site_type_symbol
_atom_site_fract_x
_atom_site_fract_y
_atom_site_fract_z
_atom_site_occupancy
Cd1 Cd 0.000 0.000 0.000 1
Co1 Co 0.205 0.250 0.625 1
Mo1 Mo 0.000 0.000 0.500 1


(6)
# CdCoMo2, optimized geometry, DFT PBE
# Formation enthalpy at 0 K   0.5162 eV/atom
# Total moment   1.0 μB per formula unit
data_CdCoMo2
_chemical_formula_sum 'Cd4 Co4 Mo8'
_cell_length_a 6.297
_cell_length_b 6.297
_cell_length_c 6.297
_cell_angle_alpha 90.00
_cell_angle_beta 90.00
_cell_angle_gamma 90.00
_symmetry_space_group_name_H-M 'F -4 3 m'
_symmetry_Int_Tables_number 216
_symmetry_space_group_name_Hall 'F -4 2 3'
loop_
_atom_site_label
_atom_site_type_symbol
_atom_site_fract_x
_atom_site_fract_y
_atom_site_fract_z
_atom_site_occupancy
Cd1 Cd 0.000 0.000 0.000 1
Co1 Co 0.250 0.250 0.750 1
Mo1 Mo 0.000 0.000 0.500 1
Mo2 Mo 0.250 0.250 0.250 1


(7)
# CdCo2Mo, optimized geometry, DFT PBE
# Formation enthalpy at 0 K   0.4262 eV/atom
# Total moment   0.0 μB per formula unit
data_CdCo2Mo
_chemical_formula_sum 'Cd2 Co4 Mo2'
_cell_length_a 3.647
_cell_length_b 3.647
_cell_length_c 8.350
_cell_angle_alpha 90.00
_cell_angle_beta 90.00
_cell_angle_gamma 90.00
_symmetry_space_group_name_H-M 'I -4 m 2'
_symmetry_Int_Tables_number 119
_symmetry_space_group_name_Hall 'I -4 -2'
loop_
_atom_site_label
_atom_site_type_symbol
_atom_site_fract_x
_atom_site_fract_y
_atom_site_fract_z
_atom_site_occupancy
Cd1 Cd 0.000 0.000 0.000 1
Co1 Co 0.000 0.000 0.500 1
Co2 Co 0.000 0.500 0.750 1
Mo1 Mo 0.000 0.500 0.250 1


(8)
# CdCoMo2, optimized geometry, DFT PBE
# Formation enthalpy at 0 K   0.4854 eV/atom
# Total moment   1.4 μB per formula unit
data_CdCoMo2
_chemical_formula_sum 'Cd2 Co2 Mo4'
_cell_length_a 3.985
_cell_length_b 3.985
_cell_length_c 7.826
_cell_angle_alpha 90.00
_cell_angle_beta 90.00
_cell_angle_gamma 90.00
_symmetry_space_group_name_H-M 'I -4 m 2'
_symmetry_Int_Tables_number 119
_symmetry_space_group_name_Hall 'I -4 -2'
loop_
_atom_site_label
_atom_site_type_symbol
_atom_site_fract_x
_atom_site_fract_y
_atom_site_fract_z
_atom_site_occupancy
Cd1 Cd 0.000 0.000 0.000 1
Co1 Co 0.000 0.500 0.750 1
Mo1 Mo 0.000 0.000 0.500 1
Mo2 Mo 0.000 0.500 0.250 1


(9)
# CdCoMo2, optimized geometry, DFT PBE
# Formation enthalpy at 0 K   0.2500 eV/atom
# Total moment   0.0 μB per formula unit
data_CdCoMo2
_chemical_formula_sum 'Cd1 Co1 Mo2'
_cell_length_a 2.744
_cell_length_b 2.744
_cell_length_c 8.224
_cell_angle_alpha 90.00
_cell_angle_beta 90.00
_cell_angle_gamma 90.00
_symmetry_space_group_name_H-M 'P 4 m m'
_symmetry_Int_Tables_number 99
loop_
_symmetry_equiv_pos_as_xyz
'x,y,z'
'-y,x,z'
'-x,-y,z'
'y,-x,z'
'-x,y,z'
'y,x,z'
'x,-y,z'
'-y,-x,z'
loop_
_atom_site_label
_atom_site_type_symbol
_atom_site_fract_x
_atom_site_fract_y
_atom_site_fract_z
_atom_site_occupancy
Cd1 Cd 0.000 0.000 0.000 1
Co1 Co 0.500 0.500 0.246 1
Mo1 Mo 0.000 0.000 0.440 1
Mo2 Mo 0.500 0.500 0.713 1


(10)
# Cd4CoMo, optimized geometry, DFT PBE
# Formation enthalpy at 0 K   0.7483 eV/atom
# Total moment   4.1 μB per formula unit
data_Cd4CoMo
_chemical_formula_sum 'Cd16 Co4 Mo4'
_cell_length_a 7.767
_cell_length_b 7.767
_cell_length_c 7.767
_cell_angle_alpha 90.00
_cell_angle_beta 90.00
_cell_angle_gamma 90.00
_symmetry_space_group_name_H-M 'F -4 3 m'
_symmetry_Int_Tables_number 216
_symmetry_space_group_name_Hall 'F -4 2 3'
loop_
_atom_site_label
_atom_site_type_symbol
_atom_site_fract_x
_atom_site_fract_y
_atom_site_fract_z
_atom_site_occupancy
Cd1 Cd 0.125 0.125 0.125 1
Co1 Co 0.250 0.250 0.750 1
Mo1 Mo 0.000 0.000 0.500 1


(11)
# CdCoMo2, optimized geometry, DFT PBE
# Formation enthalpy at 0 K   0.4101 eV/atom
# Total moment   0.8 μB per formula unit
data_CdCoMo2
_chemical_formula_sum 'Cd2 Co2 Mo4'
_cell_length_a 3.747
_cell_length_b 3.747
_cell_length_c 8.750
_cell_angle_alpha 90.00
_cell_angle_beta 90.00
_cell_angle_gamma 90.00
_symmetry_space_group_name_H-M 'I 4/m m m'
_symmetry_Int_Tables_number 139
_symmetry_space_group_name_Hall '-I 4 2'
loop_
_atom_site_label
_atom_site_type_symbol
_atom_site_fract_x
_atom_site_fract_y
_atom_site_fract_z
_atom_site_occupancy
Cd1 Cd 0.000 0.000 0.000 1
Co1 Co 0.000 0.000 0.500 1
Mo1 Mo 0.000 0.500 0.250 1


(12)
# CdCo2Mo, optimized geometry, DFT PBE
# Formation enthalpy at 0 K   0.3575 eV/atom
# Total moment   2.1 μB per formula unit
data_CdCo2Mo
_chemical_formula_sum 'Cd2 Co4 Mo2'
_cell_length_a 4.140
_cell_length_b 2.714
_cell_length_c 10.094
_cell_angle_alpha 90.00
_cell_angle_beta 90.00
_cell_angle_gamma 90.00
_symmetry_space_group_name_H-M 'A m m 2'
_symmetry_Int_Tables_number 38
loop_
_symmetry_equiv_pos_as_xyz
'x,y,z'
'-x,-y,z'
'-x,y,z'
'x,-y,z'
'x,y+1/2,z+1/2'
'-x,-y+1/2,z+1/2'
'-x,y+1/2,z+1/2'
'x,-y+1/2,z+1/2'
loop_
_atom_site_label
_atom_site_type_symbol
_atom_site_fract_x
_atom_site_fract_y
_atom_site_fract_z
_atom_site_occupancy
Cd1 Cd 0.000 0.000 0.000 1
Co1 Co 0.000 0.000 0.738 1
Co2 Co 0.500 0.000 0.611 1
Mo1 Mo 0.500 0.000 0.331 1


(13)
# CdCo2Mo, optimized geometry, DFT PBE
# Formation enthalpy at 0 K   0.3688 eV/atom
# Total moment   2.2 μB per formula unit
data_CdCo2Mo
_chemical_formula_sum 'Cd3 Co6 Mo3'
_cell_length_a 2.7374
_cell_length_b 2.7374
_cell_length_c 26.7711
_cell_angle_alpha 90.00
_cell_angle_beta 90.00
_cell_angle_gamma 120.00
_symmetry_space_group_name_H-M 'R 3 m'
_symmetry_Int_Tables_number 160
_symmetry_space_group_name_Hall 'R 3 -2"'
loop_
_atom_site_label
_atom_site_type_symbol
_atom_site_fract_x
_atom_site_fract_y
_atom_site_fract_z
_atom_site_occupancy
Cd1 Cd 0.0000 0.0000 0.0000 1
Co1 Co 0.0000 0.0000 0.4906 1
Co2 Co 0.0000 0.0000 0.7540 1
Mo1 Mo 0.0000 0.0000 0.2345 1


(14)
# CdCo2Mo, optimized geometry, DFT PBE
# Formation enthalpy at 0 K   0.3807 eV/atom
# Total moment   1.9 μB per formula unit
data_CdCo2Mo
_chemical_formula_sum 'Cd1 Co2 Mo1'
_cell_length_a 4.439
_cell_length_b 4.439
_cell_length_c 2.857
_cell_angle_alpha 90.00
_cell_angle_beta 90.00
_cell_angle_gamma 90.00
_symmetry_space_group_name_H-M 'P 4/m m m'
_symmetry_Int_Tables_number 123
_symmetry_space_group_name_Hall '-P 4 2'
loop_
_atom_site_label
_atom_site_type_symbol
_atom_site_fract_x
_atom_site_fract_y
_atom_site_fract_z
_atom_site_occupancy
Cd1 Cd 0.000 0.000 0.000 1
Co1 Co 0.000 0.500 0.500 1
Mo1 Mo 0.500 0.500 0.000 1


(15)
# CdCo2Mo, optimized geometry, DFT PBE
# Formation enthalpy at 0 K   0.1860 eV/atom
# Total moment   0.0 μB per formula unit
data_CdCo2Mo
_chemical_formula_sum 'Cd1 Co2 Mo1'
_cell_length_a 2.779
_cell_length_b 2.779
_cell_length_c 7.273
_cell_angle_alpha 90.00
_cell_angle_beta 90.00
_cell_angle_gamma 90.00
_symmetry_space_group_name_H-M 'P 4/m m m'
_symmetry_Int_Tables_number 123
_symmetry_space_group_name_Hall '-P 4 2'
loop_
_atom_site_label
_atom_site_type_symbol
_atom_site_fract_x
_atom_site_fract_y
_atom_site_fract_z
_atom_site_occupancy
Cd1 Cd 0.000 0.000 0.000 1
Co1 Co 0.500 0.500 0.271 1
Mo1 Mo 0.000 0.000 0.500 1


(16)
# CdCo2Mo, optimized geometry, DFT PBE
# Formation enthalpy at 0 K   0.3684 eV/atom
# Total moment   1.9 μB per formula unit
data_CdCo2Mo
_chemical_formula_sum 'Cd2 Co4 Mo2'
_cell_length_a 8.443
_cell_length_b 2.715
_cell_length_c 5.196
_cell_angle_alpha 90.00
_cell_angle_beta 97.97
_cell_angle_gamma 90.00
_symmetry_space_group_name_H-M 'C 1 2/m 1'
_symmetry_Int_Tables_number 12
loop_
_symmetry_equiv_pos_as_xyz
'x,y,z'
'-x,-y,-z'
'-x,y,-z'
'x,-y,z'
'x+1/2,y+1/2,z'
'-x+1/2,-y+1/2,-z'
'-x+1/2,y+1/2,-z'
'x+1/2,-y+1/2,z'
loop_
_atom_site_label
_atom_site_type_symbol
_atom_site_fract_x
_atom_site_fract_y
_atom_site_fract_z
_atom_site_occupancy
Cd1 Cd 0.000 0.000 0.000 1
Co1 Co 0.245 0.000 0.698 1
Mo1 Mo 0.000 0.500 0.500 1


(17)
# CdCoMo2, optimized geometry, DFT PBE
# Formation enthalpy at 0 K   0.3697 eV/atom
# Total moment   1.3 μB per formula unit
data_CdCoMo2
_chemical_formula_sum 'Cd1 Co1 Mo2'
_cell_length_a 2.726
_cell_length_b 4.083
_cell_length_c 5.597
_cell_angle_alpha 90.00
_cell_angle_beta 90.00
_cell_angle_gamma 90.00
_symmetry_space_group_name_H-M 'P m m m'
_symmetry_Int_Tables_number 47
loop_
_symmetry_equiv_pos_as_xyz
'x,y,z'
'-x,-y,-z'
'-x,-y,z'
'x,y,-z'
'x,-y,-z'
'-x,y,z'
'-x,y,-z'
'x,-y,z'
loop_
_atom_site_label
_atom_site_type_symbol
_atom_site_fract_x
_atom_site_fract_y
_atom_site_fract_z
_atom_site_occupancy
Cd1 Cd 0.000 0.000 0.000 1
Co1 Co 0.000 0.000 0.500 1
Mo1 Mo 0.500 0.500 0.282 1


(18)
# CdCoMo2, optimized geometry, DFT PBE
# Formation enthalpy at 0 K   0.2494 eV/atom
# Total moment   0.0 μB per formula unit
data_CdCoMo2
_chemical_formula_sum 'Cd2 Co2 Mo4'
_cell_length_a 3.673
_cell_length_b 4.076
_cell_length_c 8.282
_cell_angle_alpha 90.00
_cell_angle_beta 90.00
_cell_angle_gamma 90.00
_symmetry_space_group_name_H-M 'C m m 2'
_symmetry_Int_Tables_number 35
loop_
_symmetry_equiv_pos_as_xyz
'x,y,z'
'-x,-y,z'
'-x,y,z'
'x,-y,z'
'x+1/2,y+1/2,z'
'-x+1/2,-y+1/2,z'
'-x+1/2,y+1/2,z'
'x+1/2,-y+1/2,z'
loop_
_atom_site_label
_atom_site_type_symbol
_atom_site_fract_x
_atom_site_fract_y
_atom_site_fract_z
_atom_site_occupancy
Cd1 Cd 0.000 0.000 0.000 1
Co1 Co 0.000 0.500 0.753 1
Mo1 Mo 0.000 0.000 0.557 1
Mo2 Mo 0.000 0.500 0.287 1


(19)
# CdCo2Mo, optimized geometry, DFT PBE
# Formation enthalpy at 0 K   0.3175 eV/atom
# Total moment   2.1 μB per formula unit
data_CdCo2Mo
_chemical_formula_sum 'Cd3 Co6 Mo3'
_cell_length_a 2.7631
_cell_length_b 2.7631
_cell_length_c 26.2915
_cell_angle_alpha 90.00
_cell_angle_beta 90.00
_cell_angle_gamma 120.00
_symmetry_space_group_name_H-M 'R -3 m'
_symmetry_Int_Tables_number 166
_symmetry_space_group_name_Hall '-R 3 2"'
loop_
_atom_site_label
_atom_site_type_symbol
_atom_site_fract_x
_atom_site_fract_y
_atom_site_fract_z
_atom_site_occupancy
Cd1 Cd 0.0000 0.0000 0.0000 1
Co1 Co 0.0000 0.0000 0.2444 1
Mo1 Mo 0.0000 0.0000 0.5000 1


(20)
# CdCo2Mo, optimized geometry, DFT PBE
# Formation enthalpy at 0 K   0.6239 eV/atom
# Total moment   2.9 μB per formula unit
data_CdCo2Mo
_chemical_formula_sum 'Cd1 Co2 Mo1'
_cell_length_a 2.793
_cell_length_b 4.428
_cell_length_c 4.748
_cell_angle_alpha 90.00
_cell_angle_beta 90.00
_cell_angle_gamma 90.00
_symmetry_space_group_name_H-M 'P m m m'
_symmetry_Int_Tables_number 47
loop_
_symmetry_equiv_pos_as_xyz
'x,y,z'
'-x,-y,-z'
'-x,-y,z'
'x,y,-z'
'x,-y,-z'
'-x,y,z'
'-x,y,-z'
'x,-y,z'
loop_
_atom_site_label
_atom_site_type_symbol
_atom_site_fract_x
_atom_site_fract_y
_atom_site_fract_z
_atom_site_occupancy
Cd1 Cd 0.000 0.000 0.000 1
Co1 Co 0.000 0.500 0.500 1
Co2 Co 0.500 0.500 0.000 1
Mo1 Mo 0.500 0.000 0.500 1